Here is a relaxed structure of SnPOs2Se from the Alexandria database. Energies are from PBE-GGA.

Geometry as POSCAR:
```
SnPOs2Se
1.0
-2.409 1.866 -3.354
2.363 -3.499 -3.644
-3.324 -2.995 0.721
Sn Se P Os
1 1 1 2
Direct
0.000 0.500 0.000 Sn
0.000 0.000 0.000 Se
0.500 0.500 0.500 P
0.000 0.000 0.500 Os
0.500 0.000 0.000 Os
```

Formation energy without anion corrections (eV/atom): 1.7818
Uncorrected energy (eV per atom): -5.2896
Density of states at the Fermi level (states/eV/f.u.): 5.2